# 1
BaSr2In2 | PBE | optimized geometry

Cell: 5.4290 5.4290 8.1629 Å, 70.58 70.58 90.00°
Closest atoms and distances in Å follow each position.
Fractional coordinates of all 5 atoms:
Sr  0.7500  0.2500  0.5000  4 In 3.49, 4 Sr 3.84
Sr  0.2500  0.7500  0.5000  4 In 3.49, 4 Sr 3.84
Ba  0.0000  0.0000  0.0000  8 In 4.09, 8 Sr 4.51
In  0.4019  0.4019  0.1961  1 In 2.83
In  0.5981  0.5981  0.8039  1 In 2.83

Computed properties:
symmetry	I4/mmm, No. 139
energy relative to the elements	-1.4	eV per formula unit
total magnetization	0.0	μB per formula unit
calculated total energy	-12.12	eV per cell
excess energy over the best structure of this formula in the dataset	54.9	meV/atom
crystal system	tetragonal

# 2
NpVOs2 | PBE | optimized geometry

Cell: 2.9728 2.9728 7.2307 Å, 90.00 90.00 90.00°
Closest atoms and distances in Å follow each position.
Fractional coordinates of all 4 atoms:
Np  0.5000  0.5000  0.5000  4 Np 2.97, 8 Os 2.98
Os  0.0000  0.0000  0.7915  4 V 2.59
Os  0.0000  0.0000  0.2085  4 V 2.59
V  0.5000  0.5000  0.0000  8 Os 2.59

Computed properties:
symmetry	P4/mmm, No. 123
energy relative to the elements	-0.3	eV per formula unit
total magnetization	1.9	μB per formula unit
calculated total energy	-44.80	eV per cell
excess energy over the best structure of this formula in the dataset	0.0	meV/atom
crystal system	tetragonal

# 3
Pr2ScZn3 | PBE | optimized geometry

Cell: 3.5198 3.5198 11.2193 Å, 90.00 90.00 90.00°
Closest atoms and distances in Å follow each position.
Fractional coordinates of all 6 atoms:
Pr  0.5000  0.5000  0.8189  8 Zn 3.21-3.25, 4 Pr 3.52, 1 Sc 3.58
Pr  0.5000  0.5000  0.1811  8 Zn 3.21-3.25, 4 Pr 3.52, 1 Sc 3.58
Sc  0.5000  0.5000  0.5000  8 Zn 2.90
Zn  0.0000  0.0000  0.0000  8 Pr 3.21, 4 Zn 3.52
Zn  0.0000  0.0000  0.6321  4 Sc 2.90, 1 Zn 2.96
Zn  0.0000  0.0000  0.3679  4 Sc 2.90, 1 Zn 2.96

Computed properties:
symmetry	P4/mmm, No. 123
energy relative to the elements	-1.8	eV per formula unit
total magnetization	0.0	μB per formula unit
calculated total energy	-21.49	eV per cell
crystal system	tetragonal

# 4
FeCoNi2 | PBE | optimized geometry

Cell: 2.4761 3.6078 4.9720 Å, 90.00 90.00 90.00°
Closest atoms and distances in Å follow each position.
Fractional coordinates of all 4 atoms:
Ni  0.0000  0.0000  0.0039  4 Ni 2.45-2.52, 4 Co 2.51, 4 Fe 2.53
Ni  0.0000  0.0000  0.4961  4 Ni 2.45-2.52, 4 Co 2.51, 4 Fe 2.53
Co  0.5000  0.5000  0.2500  2 Co 2.48, 2 Fe 2.49, 8 Ni 2.51
Fe  0.5000  0.5000  0.7500  2 Fe 2.48, 2 Co 2.49, 8 Ni 2.53

Computed properties:
symmetry	Pmmm, No. 47
energy relative to the elements	-0.2	eV per formula unit
total magnetization	5.6	μB per formula unit
calculated total energy	-27.31	eV per cell
crystal system	orthorhombic

# 5
KZnHg2B | PBE | optimized geometry

Cell: 4.5441 6.2483 4.5441 Å, 90.00 90.00 90.00°
Closest atoms and distances in Å follow each position.
Fractional coordinates of all 5 atoms:
K  0.0000  0.5000  0.0000  2 B 3.12, 4 Zn 3.21
Zn  0.5000  0.5000  0.5000  4 K 3.21
B  0.0000  0.0000  0.0000  4 Hg 2.27
Hg  0.0000  0.0000  0.5000  2 B 2.27
Hg  0.5000  0.0000  0.0000  2 B 2.27

Computed properties:
symmetry	P4/mmm, No. 123
energy relative to the elements	2.4	eV per formula unit
total magnetization	0.0	μB per formula unit
calculated total energy	-7.24	eV per cell
crystal system	tetragonal

# 6
Er3LuO | PBE | optimized geometry

Cell: 4.8686 4.8686 4.8686 Å, 90.00 90.00 90.00°
Closest atoms and distances in Å follow each position.
Fractional coordinates of all 5 atoms:
Lu  0.5000  0.5000  0.5000  12 Er 3.44
O  0.0000  0.0000  0.0000  6 Er 2.43
Er  0.0000  0.5000  0.0000  2 O 2.43
Er  0.0000  0.0000  0.5000  2 O 2.43
Er  0.5000  0.0000  0.0000  2 O 2.43

Computed properties:
formation energy without anion corrections	-1106	meV per atom
symmetry	Pm-3m, No. 221
total magnetization	0.0	μB per formula unit
calculated total energy	-28.70	eV per cell
crystal system	cubic

# 7
SmMoC | PBE | optimized geometry

Cell: 5.2617 6.3399 6.3399 Å, 90.00 90.00 90.00°
Closest atoms and distances in Å follow each position.
Fractional coordinates of all 12 atoms:
C  0.0000  0.5000  0.7823  2 Mo 2.02
C  0.5000  0.2177  0.5000  2 Mo 2.02
C  0.5000  0.7823  0.5000  2 Mo 2.02
C  0.0000  0.5000  0.2177  2 Mo 2.02
Sm  0.0000  0.7659  0.5000  4 C 2.46-2.63
Sm  0.5000  0.5000  0.7659  4 C 2.46-2.63
Sm  0.5000  0.5000  0.2341  4 C 2.46-2.63
Sm  0.0000  0.2341  0.5000  4 C 2.46-2.63
Mo  0.0000  0.7330  0.0000  2 C 2.02
Mo  0.5000  0.0000  0.7330  2 C 2.02
Mo  0.5000  0.0000  0.2670  2 C 2.02
Mo  0.0000  0.2670  0.0000  2 C 2.02

Computed properties:
symmetry	P4_2/mmc, No. 131
energy relative to the elements	0.5	eV per formula unit
total magnetization	0.0	μB per formula unit
calculated total energy	-97.08	eV per cell
excess energy over the best structure of this formula in the dataset	0.0	meV/atom
crystal system	tetragonal

# 8
LiPtCl2 | PBE | optimized geometry

Cell: 4.6316 4.6316 4.6316 Å, 60.00 60.00 60.00°
Closest atoms and distances in Å follow each position.
Fractional coordinates of all 4 atoms:
Li  0.0000  0.0000  0.0000  8 Cl 2.84
Pt  0.5000  0.5000  0.5000  8 Cl 2.84
Cl  0.2500  0.2500  0.2500  4 Pt 2.84, 4 Li 2.84
Cl  0.7500  0.7500  0.7500  4 Pt 2.84, 4 Li 2.84

Computed properties:
formation energy without anion corrections	-220	meV per atom
symmetry	Fm-3m, No. 225
total magnetization	1.0	μB per formula unit
calculated total energy	-12.53	eV per cell
excess energy over the best structure of this formula in the dataset	502.1	meV/atom
crystal system	cubic

# 9
LiBeTeSe2 | PBE | optimized geometry

Cell: 4.9078 4.1814 4.9078 Å, 90.00 90.00 90.00°
Closest atoms and distances in Å follow each position.
Fractional coordinates of all 5 atoms:
Be  0.0000  0.5000  0.0000  2 Li 2.09
Te  0.5000  0.5000  0.5000  8 Se 3.22, 4 Be 3.47
Se  0.0000  0.0000  0.5000  2 Li 2.45
Se  0.5000  0.0000  0.0000  2 Li 2.45
Li  0.0000  0.0000  0.0000  2 Be 2.09

Computed properties:
formation energy without anion corrections	536	meV per atom
symmetry	P4/mmm, No. 123
total magnetization	0.0	μB per formula unit
calculated total energy	-13.07	eV per cell
crystal system	tetragonal

# 10
K2YNi | PBE | optimized geometry

Cell: 4.3694 4.3585 6.4257 Å, 90.00 90.00 90.00°
Closest atoms and distances in Å follow each position.
Fractional coordinates of all 4 atoms:
K  0.0000  0.0000  0.0000  4 K 3.09
K  0.5000  0.5000  0.0000  4 K 3.09
Ni  0.5000  0.0000  0.5000  4 Y 3.09
Y  0.0000  0.5000  0.5000  4 Ni 3.09

Computed properties:
symmetry	Pmmm, No. 47
energy relative to the elements	2.4	eV per formula unit
total magnetization	0.0	μB per formula unit
calculated total energy	-12.02	eV per cell
excess energy over the best structure of this formula in the dataset	444.6	meV/atom
crystal system	orthorhombic